VASP calculation (PBE-GGA) on a relaxed structure of K2ScCl.

abc: 3.754 6.676 11.810
angles: 90.00 90.00 90.00
Space group Cmm2 (No. 35)
Inequivalent atoms, fractional coordinates:
K 0.000 0.000 0.000
K 0.000 0.500 0.343
Sc 0.000 0.500 0.720
Cl 0.000 0.000 0.557

Results
The total energy comes out at -2.984 eV/atom. The raw formation energy comes out at -151 kJ/mol of formula units. As for the density of states at the Fermi level: 6.75 states/eV/cell.



VASP calculation (PBE-GGA) on a relaxed structure of KScCl2.

abc: 3.6509 3.6509 24.7946
angles: 90.00 90.00 120.00
Space group R-3m (No. 166, hexagonal axes)
Inequivalent atoms, fractional coordinates:
K 0.0000 0.0000 0.0000
Sc 0.0000 0.0000 0.5000
Cl 0.0000 0.0000 0.2345

Results
The total energy comes out at -4.093 eV/atom. The raw formation energy comes out at -506 kJ/mol of formula units. As for the density of states at the Fermi level: 7.34 states/eV/cell.



VASP calculation (PBE-GGA) on a relaxed structure of KSc2Cl.

abc: 4.837 4.837 10.104
angles: 90.00 90.00 90.00
Space group I-4m2 (No. 119)
Inequivalent atoms, fractional coordinates:
K 0.000 0.000 0.000
Sc 0.000 0.000 0.500
Sc 0.000 0.500 0.750
Cl 0.000 0.500 0.250

Results
The total energy comes out at -3.605 eV/atom. The raw formation energy comes out at 115 kJ/mol of formula units. As for the density of states at the Fermi level: 12.28 states/eV/cell.



VASP calculation (PBE-GGA) on a relaxed structure of K2Sc2Cl7.

abc: 11.148 8.044 6.968
angles: 90.00 96.12 90.00
Space group C2/m (No. 12)
Inequivalent atoms, fractional coordinates:
K 0.000 0.237 0.000
Sc 0.242 0.000 0.538
Cl 0.000 0.000 0.500
Cl 0.058 0.500 0.293
Cl 0.225 0.283 0.730

Results
The total energy comes out at -4.426 eV/atom. The raw formation energy comes out at -2017 kJ/mol of formula units. As for the density of states at the Fermi level: 7.12 states/eV/cell.



VASP calculation (PBE-GGA) on a relaxed structure of K2ScCl.

abc: 6.895 10.996 3.845
angles: 90.00 90.00 90.00
Space group Cmmm (No. 65)
Inequivalent atoms, fractional coordinates:
K 0.250 0.250 0.000
Sc 0.000 0.000 0.500
Cl 0.000 0.500 0.500

Results
The total energy comes out at -2.698 eV/atom. The raw formation energy comes out at -40 kJ/mol of formula units. As for the density of states at the Fermi level: 8.88 states/eV/cell.



VASP calculation (PBE-GGA) on a relaxed structure of K2Sc3Cl10.

abc: 23.958 7.340 10.078
angles: 90.00 111.73 90.00
Space group C2/m (No. 12)
Inequivalent atoms, fractional coordinates:
K 0.123 0.000 0.219
K 0.227 0.000 0.845
Sc 0.000 0.256 0.500
Sc 0.079 0.500 0.981
Sc 0.182 0.500 0.529
Cl 0.000 0.271 0.000
Cl 0.015 0.000 0.680
Cl 0.020 0.500 0.699
Cl 0.111 0.249 0.540
Cl 0.129 0.500 0.253
Cl 0.144 0.256 0.970
Cl 0.236 0.500 0.783
Cl 0.250 0.250 0.500

Results
The total energy comes out at -4.666 eV/atom. The raw formation energy comes out at -2926 kJ/mol of formula units. As for the density of states at the Fermi level: 14.39 states/eV/cell.



VASP calculation (PBE-GGA) on a relaxed structure of KSc2Cl.

abc: 4.253 4.253 7.553
angles: 90.00 90.00 90.00
Space group P4/mmm (No. 123)
Inequivalent atoms, fractional coordinates:
K 0.000 0.000 0.000
Sc 0.000 0.500 0.500
Cl 0.500 0.500 0.000

Results
The total energy comes out at -3.980 eV/atom. The raw formation energy comes out at -30 kJ/mol of formula units. As for the density of states at the Fermi level: 3.37 states/eV/cell.



VASP calculation (PBE-GGA) on a relaxed structure of K2ScCl.

abc: 3.790 3.608 11.267
angles: 90.00 99.56 90.00
Space group Pm (No. 6)
Inequivalent atoms, fractional coordinates:
K 0.000 0.000 0.000
K 0.313 0.500 0.634
Sc 0.674 0.000 0.352
Cl 0.586 0.500 0.173

Results
The total energy comes out at -3.012 eV/atom. The raw formation energy comes out at -161 kJ/mol of formula units. As for the density of states at the Fermi level: 3.96 states/eV/cell.